Entry 1:
Compound: Ho2AlZn2Ni5
Source: Alexandria
Functional: PBE
Structure: relaxed

Cell: 3.4788 9.3127 9.3127 Å, 90.00 90.00 90.00°
Positions (direct):
Ho (0.0000, 0.6764, 0.1764)
Ho (0.0000, 0.3236, 0.8236)
Ho (0.0000, 0.1764, 0.3236)
Ho (0.0000, 0.8236, 0.6764)
Al (0.0000, 0.0000, 0.0000)
Al (0.0000, 0.5000, 0.5000)
Zn (0.0000, 0.1214, 0.6214)
Zn (0.0000, 0.8786, 0.3786)
Zn (0.0000, 0.6214, 0.8786)
Zn (0.0000, 0.3786, 0.1214)
Ni (0.5000, 0.1996, 0.0575)
Ni (0.5000, 0.8004, 0.9425)
Ni (0.5000, 0.0575, 0.8004)
Ni (0.5000, 0.6996, 0.4425)
Ni (0.5000, 0.9425, 0.1996)
Ni (0.5000, 0.3004, 0.5575)
Ni (0.5000, 0.5575, 0.6996)
Ni (0.5000, 0.4425, 0.3004)
Ni (0.5000, 0.5000, 0.0000)
Ni (0.5000, 0.0000, 0.5000)

Size of the total moment, μB/f.u.: 0.000
D(E_F), states/eV/f.u.: 6.21
ΔH_f (0 K), kcal/mol of atoms: -7.9

Entry 2:
Compound: HoAl2ZnNi4
Source: Alexandria
Functional: PBE
Structure: relaxed

Cell: 4.0666 4.0666 8.3963 Å, 75.99 75.99 60.00°
Positions (direct):
Ho (0.0000, 0.0000, 0.0000)
Al (0.7613, 0.7613, 0.7162)
Al (0.2387, 0.2387, 0.2838)
Zn (0.5000, 0.5000, 0.5000)
Ni (0.4024, 0.4024, 0.7928)
Ni (0.8704, 0.8704, 0.3887)
Ni (0.1296, 0.1296, 0.6113)
Ni (0.5976, 0.5976, 0.2072)

Size of the total moment, μB/f.u.: 0.000
D(E_F), states/eV/f.u.: 4.59
ΔH_f (0 K), kcal/mol of atoms: -10.7

Entry 3:
Compound: Ho2AlZn12Ni3
Source: Alexandria
Functional: PBE
Structure: relaxed

Cell: 6.6510 6.6510 6.6510 Å, 84.44 84.44 84.44°
Positions (direct):
Ho (0.7539, 0.7539, 0.7539)
Ho (0.2461, 0.2461, 0.2461)
Al (0.0000, 0.0000, 0.0000)
Zn (0.4266, 0.4266, 0.8457)
Zn (0.8015, 0.8015, 0.2881)
Zn (0.2881, 0.8015, 0.8015)
Zn (0.8457, 0.4266, 0.4266)
Zn (0.8015, 0.2881, 0.8015)
Zn (0.4266, 0.8457, 0.4266)
Zn (0.5734, 0.5734, 0.1543)
Zn (0.1985, 0.1985, 0.7119)
Zn (0.7119, 0.1985, 0.1985)
Zn (0.1543, 0.5734, 0.5734)
Zn (0.1985, 0.7119, 0.1985)
Zn (0.5734, 0.1543, 0.5734)
Ni (0.5000, 0.0000, 0.0000)
Ni (0.0000, 0.5000, 0.0000)
Ni (0.0000, 0.0000, 0.5000)

Size of the total moment, μB/f.u.: 0.000
D(E_F), states/eV/f.u.: 7.28
ΔH_f (0 K), kcal/mol of atoms: -1.1

Entry 4:
Compound: Ho2NpAl9
Source: Alexandria
Functional: PBE
Structure: relaxed

Cell: 5.5127 5.5127 9.3610 Å, 72.88 72.88 60.00°
Positions (direct):
Ho (0.8597, 0.8597, 0.4208)
Ho (0.1403, 0.1403, 0.5792)
Np (0.0000, 0.0000, 0.0000)
Al (0.6653, 0.6653, 0.0041)
Al (0.3347, 0.3347, 0.9959)
Al (0.5000, 0.5000, 0.5000)
Al (0.4139, 0.4139, 0.2498)
Al (0.9225, 0.4139, 0.2498)
Al (0.4139, 0.9225, 0.2498)
Al (0.5861, 0.5861, 0.7502)
Al (0.5861, 0.0775, 0.7502)
Al (0.0775, 0.5861, 0.7502)

Size of the total moment, μB/f.u.: 4.612
D(E_F), states/eV/f.u.: 15.24
ΔH_f (0 K), kcal/mol of atoms: -6.4

Entry 5:
Compound: HoNpAl4
Source: Alexandria
Functional: PBE
Structure: relaxed

Cell: 5.5348 5.5348 5.5348 Å, 60.00 60.00 60.00°
Positions (direct):
Np (0.2500, 0.2500, 0.2500)
Ho (0.0000, 0.0000, 0.0000)
Al (0.6245, 0.6245, 0.1265)
Al (0.6245, 0.1265, 0.6245)
Al (0.6245, 0.6245, 0.6245)
Al (0.1265, 0.6245, 0.6245)

Size of the total moment, μB/f.u.: 4.587
D(E_F), states/eV/f.u.: 13.82
ΔH_f (0 K), kcal/mol of atoms: -5.6

Entry 6:
Compound: HoNpAlO6
Source: Alexandria
Functional: PBE
Structure: relaxed

Cell: 5.2387 5.2387 9.7532 Å, 90.00 90.00 120.00°
Positions (direct):
Ho (0.0000, 0.0000, 0.0000)
Ho (0.0000, 0.0000, 0.5000)
Np (0.6667, 0.3333, 0.2500)
Np (0.3333, 0.6667, 0.7500)
Al (0.3333, 0.6667, 0.2500)
Al (0.6667, 0.3333, 0.7500)
O (0.6366, 0.6562, 0.1396)
O (0.0196, 0.3634, 0.1396)
O (0.3634, 0.0196, 0.6396)
O (0.9804, 0.6366, 0.8604)
O (0.3438, 0.3634, 0.3604)
O (0.0196, 0.6562, 0.3604)
O (0.6562, 0.0196, 0.8604)
O (0.6366, 0.9804, 0.3604)
O (0.9804, 0.3438, 0.6396)
O (0.3438, 0.9804, 0.1396)
O (0.6562, 0.6366, 0.6396)
O (0.3634, 0.3438, 0.8604)

Size of the total moment, μB/f.u.: 1.000
Formation energy (no corrections), eV per atom: -3.04

Entry 7:
Compound: Ho12Al3O5
Source: Alexandria
Functional: PBE
Structure: relaxed

Cell: 13.2404 13.2404 13.2404 Å, 109.47 109.47 109.47°
Positions (direct):
Ho (0.7009, 0.1107, 0.0140)
Ho (0.3131, 0.5140, 0.4032)
Ho (0.9860, 0.3893, 0.2991)
Ho (0.5140, 0.2009, 0.1107)
Ho (0.5901, 0.7009, 0.6869)
Ho (0.9860, 0.5968, 0.1869)
Ho (0.3131, 0.7991, 0.4099)
Ho (0.0968, 0.9099, 0.1107)
Ho (0.5968, 0.9860, 0.6869)
Ho (0.7009, 0.5901, 0.1869)
Ho (0.7991, 0.4860, 0.3893)
Ho (0.8131, 0.9032, 0.0140)
Ho (0.1107, 0.7009, 0.5140)
Ho (0.3893, 0.4032, 0.0901)
Ho (0.0901, 0.9032, 0.3893)
Ho (0.4099, 0.1107, 0.5968)
Ho (0.0901, 0.1869, 0.2009)
Ho (0.4860, 0.6869, 0.0968)
Ho (0.8131, 0.9099, 0.2991)
Ho (0.1107, 0.4099, 0.0968)
Ho (0.3893, 0.9860, 0.7991)
Ho (0.5968, 0.6107, 0.4099)
Ho (0.9032, 0.8131, 0.5140)
Ho (0.7991, 0.3131, 0.9099)
Ho (0.4032, 0.3893, 0.5901)
Ho (0.0968, 0.1869, 0.4860)
Ho (0.2009, 0.6869, 0.0901)
Ho (0.1869, 0.0901, 0.7009)
Ho (0.6107, 0.0140, 0.2009)
Ho (0.8893, 0.5901, 0.9032)
Ho (0.5140, 0.3131, 0.9032)
Ho (0.5901, 0.8893, 0.4032)
Ho (0.9099, 0.8131, 0.7991)
Ho (0.9099, 0.0968, 0.6107)
Ho (0.8893, 0.2991, 0.4860)
Ho (0.1869, 0.0968, 0.9860)
Ho (0.6107, 0.5968, 0.9099)
Ho (0.4032, 0.0140, 0.3131)
Ho (0.2991, 0.4099, 0.8131)
Ho (0.2009, 0.5140, 0.6107)
Ho (0.9032, 0.0901, 0.8893)
Ho (0.6869, 0.2009, 0.5901)
Ho (0.4860, 0.7991, 0.8893)
Ho (0.0140, 0.4032, 0.8131)
Ho (0.4099, 0.2991, 0.3131)
Ho (0.0140, 0.6107, 0.7009)
Ho (0.6869, 0.4860, 0.5968)
Ho (0.2991, 0.8893, 0.9860)
O (0.1250, 0.3750, 0.2500)
O (0.0000, 0.5000, 0.0000)
O (0.0000, 0.0000, 0.0000)
O (0.3750, 0.2500, 0.1250)
O (0.5000, 0.0000, 0.5000)
O (0.5000, 0.5000, 0.0000)
O (0.1250, 0.7500, 0.3750)
O (0.7500, 0.1250, 0.8750)
O (0.7500, 0.6250, 0.3750)
O (0.3750, 0.1250, 0.7500)
O (0.6250, 0.8750, 0.2500)
O (0.5000, 0.5000, 0.5000)
O (0.5000, 0.0000, 0.0000)
O (0.0000, 0.0000, 0.5000)
O (0.2500, 0.3750, 0.6250)
O (0.2500, 0.8750, 0.1250)
O (0.0000, 0.5000, 0.5000)
O (0.8750, 0.2500, 0.6250)
O (0.6250, 0.7500, 0.8750)
O (0.8750, 0.6250, 0.7500)
Al (0.7500, 0.3750, 0.1250)
Al (0.8750, 0.7500, 0.1250)
Al (0.3750, 0.7500, 0.6250)
Al (0.2500, 0.1250, 0.3750)
Al (0.8750, 0.1250, 0.2500)
Al (0.3750, 0.6250, 0.2500)
Al (0.6250, 0.3750, 0.7500)
Al (0.1250, 0.8750, 0.7500)
Al (0.7500, 0.8750, 0.6250)
Al (0.6250, 0.2500, 0.3750)
Al (0.1250, 0.2500, 0.8750)
Al (0.2500, 0.6250, 0.8750)

Size of the total moment, μB/f.u.: 0.000
Formation energy (no corrections), eV per atom: -1.52
D(E_F), states/eV/f.u.: 13.20

Entry 8:
Compound: Ho2AlO
Source: Alexandria
Functional: PBE
Structure: relaxed

Cell: 3.3861 3.3861 8.9423 Å, 79.09 79.09 60.00°
Positions (direct):
Ho (0.1144, 0.1144, 0.6569)
Ho (0.8856, 0.8856, 0.3431)
O (0.5000, 0.5000, 0.5000)
Al (0.0000, 0.0000, 0.0000)

Size of the total moment, μB/f.u.: 0.000
Formation energy (no corrections), eV per atom: -1.08
D(E_F), states/eV/f.u.: 2.77